Record 1
Ca2InIr, optimized geometry, DFT GGA-PBE; formation energy from the elements = -18 kJ/mol of atoms; crystal system = tetragonal
1.0
-8.667 3.862 -3.277
2.264 -2.857 -9.353
-4.390 -1.809 -5.897
Ir Ca In
2 4 2
direct
0.000 0.000 0.000
0.750 0.250 0.500
0.375 0.224 0.750
0.974 0.625 0.250
0.776 0.125 0.250
0.875 0.026 0.750
0.250 0.750 0.500
0.500 0.500 0.000

***

Record 2
K7NaHg2, optimized geometry, DFT GGA-PBE; formation energy from the elements = -7 kJ/mol of atoms; crystal system = tetragonal
1.0
-5.622 -1.348 1.904
-1.800 -0.654 -5.778
7.292 -13.233 2.434
Hg K Na
2 7 1
direct
0.324 0.324 0.649
0.676 0.676 0.351
0.750 0.250 0.500
0.608 0.108 0.216
0.500 0.500 0.000
0.392 0.892 0.784
0.108 0.608 0.216
0.250 0.750 0.500
0.892 0.392 0.784
0.000 0.000 0.000

***

Record 3
Cd4Re2As, optimized geometry, DFT GGA-PBE; formation energy from the elements = 117 kJ/mol of atoms; crystal system = tetragonal
1.0
5.351 0.000 0.000
0.000 5.351 0.000
2.675 2.675 6.741
As Cd Re
1 4 2
direct
0.000 0.000 0.000
0.500 0.000 0.000
0.796 0.796 0.409
0.204 0.204 0.591
0.000 0.500 0.000
0.582 0.582 0.835
0.418 0.418 0.165

***

Record 4
SrAgAu, optimized geometry, DFT GGA-PBE; formation energy from the elements = -52 kJ/mol of atoms; crystal system = monoclinic
1.0
-2.878 -2.181 3.131
-4.144 -3.602 -2.670
1.946 -5.770 1.416
Sr Ag Au
2 2 2
direct
0.459 0.789 0.294
0.541 0.211 0.706
0.160 0.783 0.896
0.840 0.217 0.104
0.164 0.374 0.297
0.836 0.626 0.703

***

Record 5
CsV2Sn, optimized geometry, DFT GGA-PBE; formation energy from the elements = 109 kJ/mol of atoms; crystal system = cubic
1.0
4.916 1.461 0.791
1.571 1.352 4.757
3.231 -3.085 2.640
V Sn Cs
2 1 1
direct
0.250 0.250 0.250
0.750 0.750 0.750
0.000 0.000 0.000
0.500 0.500 0.500

***

Record 6
AcDyZnHg, optimized geometry, DFT GGA-PBE; formation energy from the elements = -35 kJ/mol of atoms; crystal system = tetragonal
1.0
3.765 0.000 0.000
0.000 3.765 0.000
0.000 0.000 7.784
Hg Dy Ac Zn
1 1 1 1
direct
0.000 0.000 0.820
0.500 0.500 0.594
0.500 0.500 0.122
0.000 0.000 0.392

***

Record 7
CaTaAs2, optimized geometry, DFT GGA-PBE; formation energy from the elements = -29 kJ/mol of atoms; crystal system = orthorhombic
1.0
5.058 -0.006 0.001
0.533 5.030 -0.001
-2.105 -3.280 3.224
As Ca Ta
2 1 1
direct
0.016 0.016 0.000
0.484 0.484 0.000
0.750 0.250 0.500
0.250 0.750 0.500

***

Record 8
AcCuP2, optimized geometry, DFT GGA-PBE; formation energy from the elements = -12 kJ/mol of atoms; crystal system = trigonal
1.0
4.954 0.000 0.000
2.477 4.290 0.000
2.477 1.430 6.296
Cu P Ac
1 2 1
direct
0.000 0.000 0.000
0.113 0.113 0.661
0.887 0.887 0.339
0.500 0.500 0.500

***

Record 9
Pm2Dy6HoMg, optimized geometry, DFT GGA-PBE; formation energy from the elements = 11 kJ/mol of atoms; crystal system = monoclinic
1.0
9.065 -2.194 -2.277
0.800 8.377 -1.876
0.800 -2.185 8.302
Dy Pm Mg Ho
12 4 2 2
direct
0.385 0.504 0.297
0.615 0.496 0.703
0.947 0.877 0.250
0.053 0.123 0.750
0.115 0.703 0.496
0.553 0.750 0.123
0.690 0.011 0.572
0.447 0.250 0.877
0.310 0.989 0.428
0.885 0.297 0.504
0.190 0.572 0.011
0.810 0.428 0.989
0.049 0.299 0.202
0.451 0.798 0.701
0.951 0.701 0.798
0.549 0.202 0.299
0.250 0.404 0.596
0.750 0.596 0.404
0.750 0.016 0.984
0.250 0.984 0.016

***

Record 10
BaVSn2Cl8, optimized geometry, DFT GGA-PBE; crystal system = triclinic; uncorrected formation energy = -16.38 eV/f.u.
1.0
-2.299 2.704 5.774
4.059 -3.449 3.568
5.677 6.454 -0.378
Cl Sn Ba V
8 2 1 1
direct
0.123 0.748 0.788
0.360 0.279 0.525
0.301 0.212 0.967
0.826 0.211 0.799
0.699 0.788 0.033
0.640 0.721 0.475
0.174 0.789 0.201
0.877 0.252 0.212
0.465 0.476 0.776
0.535 0.524 0.224
0.000 0.000 0.500
0.000 0.000 0.000

***

Record 11
Eu3TlCu, optimized geometry, DFT GGA-PBE; formation energy from the elements = -3 kJ/mol of atoms; crystal system = cubic
1.0
5.661 0.000 0.000
0.000 5.661 0.000
0.000 0.000 5.661
Cu Eu Tl
1 3 1
direct
0.000 0.000 0.000
0.000 0.500 0.000
0.500 0.000 0.000
0.000 0.000 0.500
0.500 0.500 0.500

***

Record 12
Na2NdSbSe4, optimized geometry, DFT GGA-PBE; crystal system = monoclinic; uncorrected formation energy = -9.26 eV/f.u.
1.0
4.227 0.000 0.000
0.000 7.342 0.119
0.000 -2.558 6.985
Se Na Nd Sb
4 2 1 1
direct
0.000 0.249 0.766
0.000 0.751 0.234
0.500 0.239 0.233
0.500 0.761 0.767
0.500 0.000 0.500
0.000 0.500 0.500
0.500 0.500 0.000
0.000 0.000 0.000

***

Record 13
RbNa2P3H6O12, optimized geometry, DFT GGA-PBE; crystal system = triclinic
1.0
7.699 -0.035 -0.010
1.843 8.661 0.038
0.909 3.973 9.001
H O P Rb Na
12 24 6 2 4
direct
0.838 0.441 0.458
0.347 0.739 0.593
0.445 0.206 0.997
0.109 0.379 0.610
0.162 0.559 0.542
0.555 0.794 0.003
0.706 0.899 0.959
0.891 0.621 0.390
0.653 0.261 0.407
0.294 0.101 0.041
0.513 0.599 0.623
0.487 0.401 0.377
0.022 0.763 0.402
0.401 0.577 0.224
0.663 0.805 0.042
0.915 0.007 0.155
0.087 0.748 0.151
0.331 0.755 0.958
0.166 0.771 0.735
0.669 0.245 0.042
0.834 0.229 0.265
0.176 0.497 0.093
0.085 0.993 0.845
0.189 0.446 0.625
0.457 0.708 0.545
0.337 0.195 0.958
0.621 0.024 0.295
0.599 0.423 0.776
0.379 0.976 0.705
0.543 0.292 0.455
0.758 0.060 0.781
0.242 0.940 0.219
0.978 0.237 0.598
0.824 0.503 0.907
0.913 0.252 0.849
0.811 0.554 0.375
0.078 0.863 0.245
0.745 0.374 0.885
0.255 0.626 0.115
0.757 0.126 0.205
0.922 0.137 0.755
0.243 0.874 0.795
0.251 0.156 0.379
0.749 0.844 0.621
0.150 0.471 0.862
0.535 0.770 0.294
0.465 0.230 0.706
0.850 0.529 0.138

***

Record 14
LiHoTmCo, optimized geometry, DFT GGA-PBE; formation energy from the elements = -10 kJ/mol of atoms; crystal system = cubic
1.0
4.809 0.000 0.000
2.405 4.165 0.000
2.405 1.388 3.927
Ho Tm Li Co
1 1 1 1
direct
0.750 0.750 0.750
0.250 0.250 0.250
0.000 0.000 0.000
0.500 0.500 0.500

***

Record 15
PrCoSi2Rh, optimized geometry, DFT GGA-PBE; crystal system = tetragonal; uncorrected formation energy = -4.46 eV/f.u.
1.0
4.036 0.000 0.000
0.000 4.036 0.000
-2.018 -2.018 5.096
Pr Co Rh Si
1 1 1 2
direct
0.000 0.000 0.000
0.750 0.250 0.500
0.250 0.750 0.500
0.371 0.371 0.742
0.629 0.629 0.258

***

Record 16
Ag3Se5Br12, optimized geometry, DFT GGA-PBE; crystal system = cubic; uncorrected formation energy = 3.51 eV/f.u.
1.0
-14.937 -3.948 -0.757
6.772 -2.807 -13.621
6.974 -8.301 11.034
Br Ag Se
48 12 20
direct
0.841 0.490 0.841
0.500 0.851 0.841
0.351 0.510 0.851
0.851 0.500 0.341
0.000 0.341 0.851
0.351 0.500 0.341
0.841 0.351 0.500
0.351 0.851 0.510
0.990 0.149 0.149
0.159 0.010 0.159
0.649 0.149 0.490
0.649 0.500 0.659
0.841 0.990 0.841
0.490 0.841 0.341
0.841 0.851 0.500
0.659 0.659 0.510
0.000 0.659 0.649
0.159 0.149 0.500
0.341 0.000 0.351
0.341 0.341 0.990
0.351 0.841 0.000
0.010 0.159 0.659
0.149 0.649 0.990
0.500 0.649 0.159
0.159 0.510 0.159
0.010 0.851 0.851
0.159 0.649 0.500
0.851 0.351 0.010
0.510 0.351 0.351
0.149 0.990 0.649
0.500 0.351 0.841
0.341 0.341 0.490
0.659 0.659 0.010
0.659 0.000 0.649
0.500 0.149 0.159
0.000 0.341 0.351
0.659 0.000 0.149
0.851 0.010 0.351
0.649 0.490 0.149
0.149 0.500 0.659
0.490 0.649 0.649
0.851 0.841 0.000
0.149 0.159 0.000
0.000 0.659 0.149
0.510 0.159 0.659
0.649 0.159 0.000
0.990 0.841 0.341
0.341 0.000 0.851
0.625 0.375 0.750
0.750 0.375 0.125
0.125 0.250 0.875
0.250 0.625 0.875
0.375 0.625 0.250
0.250 0.125 0.375
0.625 0.250 0.375
0.750 0.875 0.625
0.875 0.750 0.125
0.375 0.750 0.625
0.125 0.875 0.750
0.875 0.125 0.250
0.125 0.750 0.375
0.250 0.375 0.625
0.875 0.625 0.750
0.000 0.000 0.000
0.500 0.000 0.000
0.750 0.125 0.875
0.000 0.500 0.500
0.125 0.375 0.250
0.000 0.500 0.000
0.500 0.500 0.500
0.625 0.875 0.250
0.875 0.250 0.625
0.500 0.000 0.500
0.375 0.125 0.750
0.000 0.000 0.500
0.375 0.250 0.125
0.625 0.750 0.875
0.750 0.625 0.375
0.500 0.500 0.000
0.250 0.875 0.125

***

Record 17
Ca5NdAg6, optimized geometry, DFT GGA-PBE; formation energy from the elements = -30 kJ/mol of atoms; crystal system = orthorhombic
1.0
-1.959 -1.801 4.533
6.469 1.512 3.396
-3.581 6.316 4.010
Ca Ag Nd
5 6 1
direct
0.668 0.000 0.663
0.332 0.000 0.337
0.335 0.500 0.331
0.000 0.500 0.000
0.665 0.500 0.669
0.164 0.749 0.671
0.836 0.251 0.329
0.164 0.251 0.671
0.836 0.749 0.329
0.500 0.242 0.000
0.500 0.758 0.000
0.000 0.000 0.000

***

Record 18
ScIn2Ga2, optimized geometry, DFT GGA-PBE; formation energy from the elements = -14 kJ/mol of atoms; crystal system = tetragonal
1.0
-1.200 2.361 6.854
-7.059 -1.964 -0.559
0.914 -3.692 1.432
Ga In Sc
4 4 2
direct
0.626 0.126 0.000
0.374 0.874 0.000
0.874 0.626 0.000
0.126 0.374 0.000
0.676 0.824 0.500
0.824 0.324 0.500
0.176 0.676 0.500
0.324 0.176 0.500
0.500 0.500 0.000
0.000 0.000 0.000

***

Record 19
Nb3AuN, optimized geometry, DFT GGA-PBE; crystal system = orthorhombic; uncorrected formation energy = -2.24 eV/f.u.
1.0
5.340 0.000 0.000
0.000 5.026 0.000
-0.001 0.000 5.930
Nb Au N
6 2 2
direct
0.855 0.677 0.570
0.341 0.732 0.820
0.557 0.177 0.571
0.070 0.232 0.320
0.557 0.177 0.070
0.855 0.677 0.071
0.352 0.684 0.320
0.060 0.184 0.820
0.637 0.470 0.820
0.775 0.970 0.320

***

Number 1: final energy -32.72 eV/cell, spin magnetization 0.0 μB per formula unit. Number 2: final energy -10.34 eV/cell, spin magnetization 0.0 μB per formula unit. Number 3: final energy -24.71 eV/cell, spin magnetization 1.2 μB per formula unit. Number 4: final energy -18.85 eV/cell, spin magnetization 0.0 μB per formula unit. Number 5: final energy -18.59 eV/cell, spin magnetization 6.8 μB per formula unit. Number 6: final energy -11.76 eV/cell, spin magnetization 0.0 μB per formula unit. Number 7: final energy -24.37 eV/cell, spin magnetization 0.0 μB per formula unit. Number 8: final energy -19.53 eV/cell, spin magnetization 0.0 μB per formula unit. Number 9: final energy -84.28 eV/cell, spin magnetization 0.0 μB per formula unit. Number 10: final energy -50.20 eV/cell, spin magnetization 3.0 μB per formula unit. Number 11: final energy -37.44 eV/cell, spin magnetization 22.4 μB per formula unit. Number 12: final energy -34.73 eV/cell, spin magnetization 0.0 μB per formula unit. Number 13: final energy -284.59 eV/cell, spin magnetization 0.0 μB per formula unit. Number 14: final energy -18.49 eV/cell, spin magnetization 0.0 μB per formula unit. Number 15: final energy -34.54 eV/cell, spin magnetization 0.0 μB per formula unit. Number 16: final energy -170.14 eV/cell, spin magnetization 5.3 μB per formula unit. Number 17: final energy -35.57 eV/cell, spin magnetization 0.0 μB per formula unit. Number 18: final energy -37.15 eV/cell, spin magnetization 0.0 μB per formula unit. Number 19: final energy -88.10 eV/cell, spin magnetization 0.0 μB per formula unit.